17
Lattice="6.7084 0.0000 -2.3718 -3.3542 5.8097 -2.3718 0.0000 0.0000 7.1154" Properties=species:S:1:pos:R:3 comment="Pa4P6Os7 | Alexandria via LeMat-Bulk | PBE | optimized geometry" formation_enthalpy_0k_ev_per_atom=-0.7147 energy_ry_per_atom=-0.6969 sg="Im-3m (229)" magnetic_moment_mub_per_fu=0.0 pbc="T T T"
P 2.3038 3.9903 -3.2580
Pa 1.6771 2.9048 1.1859
P -1.0504 1.8194 1.4855
Os 0.0000 0.0000 0.0000
Os 0.0000 2.9048 3.5577
Pa -1.6771 2.9048 -1.1859
Pa 0.0000 0.0000 3.5577
P 2.1009 0.0000 1.4855
Pa 3.3542 0.0000 -1.1859
Os 2.5157 1.4524 3.5577
Os 0.8386 4.3573 -1.1859
Os -0.8386 4.3573 1.1859
P 4.6076 0.0000 3.2580
Os 3.3542 2.9048 -1.1859
P -2.3038 3.9903 3.2580
Os 4.1928 1.4524 1.1859
P 1.0504 1.8194 -1.4855